Entry 1:
First-principles (PBE-GGA) data for a geometry-optimized SrNiMo2 structure, as listed in Alexandria.

* symmetry: Cm
* E above lowest polymorph: 156 meV per atom
* volume: 21.7 Å³ per atom
* calculated density: 6.5 g/cm3

Cell lengths 4.757, 4.757, 6.202 Å; angles 104.60, 104.60, 39.88 degrees
Fractional positions:
Sr  0.000  0.000  0.000
Ni  0.765  0.765  0.334
Mo  0.198  0.198  0.608
Mo  0.489  0.489  0.482

Entry 2:
First-principles (PBE-GGA) data for a geometry-optimized Sm2Er2AlGa4 structure, as listed in Alexandria.

* symmetry: I4/mmm
* VASP energy: -36.4 eV for the cell shown
* volume: 24.3 Å³ per atom
* calculated density: 7.1 g/cm3

Cell lengths 6.669, 6.669, 6.669 Å; angles 116.69, 116.69, 95.84 degrees
Fractional positions:
Sm  0.190  0.190  0.000
Sm  0.810  0.810  0.000
Er  0.250  0.750  0.500
Er  0.750  0.250  0.500
Al  0.500  0.500  0.000
Ga  0.251  0.251  0.503
Ga  0.251  0.749  0.000
Ga  0.749  0.251  0.000
Ga  0.749  0.749  0.497

Entry 3:
First-principles (PBE-GGA) data for a geometry-optimized SrTc2Ir structure, as listed in Alexandria.

* symmetry: C2/m
* E above lowest polymorph: 92 meV per atom
* volume: 20.4 Å³ per atom
* calculated density: 9.7 g/cm3

Cell lengths 5.207, 5.207, 5.507 Å; angles 102.95, 102.95, 34.22 degrees
Fractional positions:
Sr  0.000  0.000  0.000
Tc  0.221  0.221  0.647
Tc  0.779  0.779  0.353
Ir  0.500  0.500  0.500

Entry 4:
First-principles (PBE-GGA) data for a geometry-optimized Nd4Er5Sc2 structure, as listed in Alexandria.

* symmetry: C2/m
* E above lowest polymorph: 0 meV per atom
* volume: 31.0 Å³ per atom
* calculated density: 7.3 g/cm3

Cell lengths 9.337, 9.337, 7.881 Å; angles 104.69, 104.69, 30.98 degrees
Fractional positions:
Nd  0.044  0.044  0.223
Nd  0.317  0.317  0.594
Nd  0.683  0.683  0.406
Nd  0.956  0.956  0.777
Er  0.136  0.136  0.687
Er  0.227  0.227  0.130
Er  0.500  0.500  0.500
Er  0.773  0.773  0.870
Er  0.864  0.864  0.313
Sc  0.409  0.409  0.047
Sc  0.591  0.591  0.953

- Look up the calculated density of the fourth one.
  7.3 g/cm3

- Look up the volume of the first one.
  21.7 Å³ per atom

- Number 1 is which compound?
  SrNiMo2

- Look up the calculated density of the second one.
  7.1 g/cm3